[1]
Computed, not measured: a relaxed structure of EuLuIn2 at the PBE level of DFT.

Structure (POSCAR):
```
EuLuIn2
1.0
-2.982 -2.010 -0.651
-0.918 -2.700 2.285
-6.880 4.941 5.997
Eu Lu In
1 1 2
Direct
0.500 0.500 0.500
0.000 0.000 0.000
0.746 0.746 0.761
0.254 0.254 0.239
```

Computed properties:
As for the formation enthalpy at 0 K: -26.2 kJ per mole of atoms. The space group is No. 166. Its offset from the most stable computed form is 175 meV per atom. Its total energy is -5.34 eV/atom. As for the size of the total moment: 7.2 μB per formula unit.



[2]
Computed, not measured: a relaxed structure of InSi2Ni2 at the PBE level of DFT.

Structure (POSCAR):
```
InSi2Ni2
1.0
-2.785 1.086 -6.605
-6.395 -2.544 2.279
-0.742 2.517 0.727
Ni Si In
4 4 2
Direct
0.369 0.869 0.000
0.869 0.631 0.000
0.631 0.131 0.000
0.131 0.369 0.000
0.152 0.652 0.500
0.652 0.848 0.500
0.848 0.348 0.500
0.348 0.152 0.500
0.000 0.000 0.000
0.500 0.500 0.000
```

Computed properties:
The uncorrected formation energy is -0.034 eV/atom. The space group is No. 127. Its total energy is -5.06 eV/atom. As for the size of the total moment: 0.0 μB per formula unit.



Which value of size of the total moment does entry 2 give?
0.0 μB per formula unit